A plane-wave DFT calculation with GGA-PBE was carried out for a relaxed structure of TiPdPt.

Unit cell a=2.806 b=4.601 c=7.346 alpha=90.00 beta=100.99 gamma=90.00
Space group P2_1/m (No. 11)
Inequivalent atoms, fractional coordinates:
Ti: 0.063 0.250 0.127 x2
Pd: 0.278 0.750 0.556 x2
Pt: 0.398 0.250 0.797 x2

Output
DFT formation energy: -0.68 eV per atom